[1]
A geometry-optimized BAsBr2O structure. Source: Alexandria via LeMat-Bulk, functional PBE.

Cell lengths 4.4342, 4.4342, 4.6326 Å; angles 90.00, 90.00, 90.00 degrees
With the nearest neighbours (Å) after each atom.
Atoms (fractional coordinates):
B1 0.0000 0.0000 0.0000  4 Br 2.22, 2 As 2.32
As1 0.0000 0.0000 0.5000  2 B 2.32
Br1 0.0000 0.5000 0.0000  2 B 2.22
Br2 0.5000 0.0000 0.0000  2 B 2.22
O1 0.5000 0.5000 0.5000  4 As 3.14, 8 Br 3.21

The crystal system is tetragonal. Its energy above the most stable polymorph in this dataset is 74 meV/atom. As for the calculated total energy: -2.773 eV/atom. The value obtained for the uncorrected formation energy is 1153 meV/atom.

***

[2]
A geometry-optimized BaAcCd structure. Source: Alexandria via LeMat-Bulk, functional PBE.

Cell lengths 7.8870, 7.8870, 7.8870 Å; angles 149.40, 149.40, 43.82 degrees
With the nearest neighbours (Å) after each atom.
Atoms (fractional coordinates):
Ba1 0.0000 0.0000 0.0000  4 Cd 3.69, 1 Ac 4.06
Ac1 0.2772 0.2772 0.0000  4 Cd 3.46
Cd1 0.6524 0.6524 0.0000  4 Ac 3.46, 4 Ba 3.69

The crystal system is tetragonal. The formation energy is -0.1675 eV per atom. Its energy above the most stable polymorph in this dataset is 0 meV/atom. As for the calculated total energy: -2.483 eV/atom.

***

[3]
A geometry-optimized Ba2HoZrS6 structure. Source: Alexandria via LeMat-Bulk, functional PBE.

Cell lengths 7.2845, 10.3020, 7.2884 Å; angles 90.00, 90.00, 90.00 degrees
With the nearest neighbours (Å) after each atom.
Atoms (fractional coordinates):
Ba1 0.2500 0.0004 0.2486  12 S 3.63-3.66
Ba2 0.2500 0.4996 0.2486  12 S 3.63-3.66
Ba3 0.7500 0.9996 0.7514  12 S 3.63-3.66
Ba4 0.7500 0.5004 0.7514  12 S 3.63-3.66
Ho1 0.2500 0.2500 0.7506  6 S 2.63
Ho2 0.7500 0.7500 0.2494  6 S 2.63
Zr1 0.2500 0.7500 0.7491  6 S 2.52
Zr2 0.7500 0.2500 0.2509  6 S 2.52
S1 0.0044 0.7500 0.9935  1 Zr 2.52, 1 Ho 2.63
S2 0.0055 0.7500 0.5039  1 Zr 2.52, 1 Ho 2.63
S3 0.2500 0.5051 0.7509  1 Zr 2.52, 1 Ho 2.63
S4 0.2500 0.9949 0.7509  1 Zr 2.52, 1 Ho 2.63
S5 0.4945 0.7500 0.5039  1 Zr 2.52, 1 Ho 2.63
S6 0.4956 0.7500 0.9935  1 Zr 2.52, 1 Ho 2.63
S7 0.5044 0.2500 0.0065  1 Zr 2.52, 1 Ho 2.63
S8 0.5055 0.2500 0.4961  1 Zr 2.52, 1 Ho 2.63
S9 0.7500 0.0051 0.2491  1 Zr 2.52, 1 Ho 2.63
S10 0.7500 0.4949 0.2491  1 Zr 2.52, 1 Ho 2.63
S11 0.9945 0.2500 0.4961  1 Zr 2.52, 1 Ho 2.63
S12 0.9956 0.2500 0.0065  1 Zr 2.52, 1 Ho 2.63

The crystal system is orthorhombic. As for the calculated total energy: -5.914 eV/atom. The value obtained for the uncorrected formation energy is -1741 meV/atom.

***

[4]
A geometry-optimized Ac2Hg4Bi3 structure. Source: Alexandria via LeMat-Bulk, functional PBE.

Cell lengths 7.7911, 7.7911, 9.9321 Å; angles 120.91, 120.91, 39.19 degrees
With the nearest neighbours (Å) after each atom.
Atoms (fractional coordinates):
Ac1 0.1774 0.1774 0.2266  6 Hg 3.38-3.55, 5 Bi 3.51-3.75
Ac2 0.8226 0.8226 0.7734  6 Hg 3.38-3.55, 5 Bi 3.51-3.75
Hg1 0.2586 0.2586 0.9498  2 Hg 2.86
Hg2 0.3850 0.3850 0.6224  3 Bi 3.12-3.16, 3 Ac 3.38-3.42
Hg3 0.6150 0.6150 0.3776  3 Bi 3.12-3.16, 3 Ac 3.38-3.42
Hg4 0.7414 0.7414 0.0502  2 Hg 2.86
Bi1 0.1242 0.1242 0.5557  3 Hg 3.12-3.29, 1 Bi 3.18
Bi2 0.5000 0.5000 0.0000  4 Hg 3.16-3.30, 4 Ac 3.51
Bi3 0.8758 0.8758 0.4443  3 Hg 3.12-3.29, 1 Bi 3.18

The crystal system is monoclinic. The formation energy is -0.3526 eV per atom. As for the calculated total energy: -2.693 eV/atom.

***

[5]
A geometry-optimized H3RhF structure. Source: Alexandria via LeMat-Bulk, functional PBE.

Cell lengths 3.2607, 3.2607, 3.2607 Å; angles 90.00, 90.00, 90.00 degrees
With the nearest neighbours (Å) after each atom.
Atoms (fractional coordinates):
H1 0.0000 0.0000 0.5000  2 F 1.63
H2 0.0000 0.5000 0.0000  2 F 1.63
H3 0.5000 0.0000 0.0000  2 F 1.63
Rh1 0.5000 0.5000 0.5000  12 H 2.31
F1 0.0000 0.0000 0.0000  6 H 1.63

The crystal system is cubic. Its energy above the most stable polymorph in this dataset is 465 meV/atom. As for the calculated total energy: -3.140 eV/atom.

***

[6]
A geometry-optimized TlFe2Tc structure. Source: Alexandria via LeMat-Bulk, functional PBE.

Cell lengths 3.2229, 3.2229, 5.9240 Å; angles 90.00, 90.00, 90.00 degrees
With the nearest neighbours (Å) after each atom.
Atoms (fractional coordinates):
Tl1 0.0000 0.0000 0.0000  8 Fe 2.87, 2 Tc 2.96
Fe1 0.5000 0.5000 0.2947  1 Fe 2.43, 4 Tc 2.58
Fe2 0.5000 0.5000 0.7053  1 Fe 2.43, 4 Tc 2.58
Tc1 0.0000 0.0000 0.5000  8 Fe 2.58

The crystal system is tetragonal. The formation energy is 0.4421 eV per atom. Its energy above the most stable polymorph in this dataset is 26 meV/atom. As for the calculated total energy: -6.972 eV/atom.

***

[7]
A geometry-optimized SrCdPb structure. Source: Alexandria via LeMat-Bulk, functional PBE.

Cell lengths 7.2818, 7.2818, 7.2818 Å; angles 141.78, 123.40, 70.36 degrees
With the nearest neighbours (Å) after each atom.
Atoms (fractional coordinates):
Sr1 0.1826 0.1826 0.0000  4 Cd 3.31-3.52, 4 Pb 3.67
Sr2 0.8174 0.8174 0.0000  4 Cd 3.31-3.52, 4 Pb 3.67
Cd1 0.3754 0.8754 0.5000  1 Cd 2.97, 4 Pb 3.28, 2 Sr 3.31
Cd2 0.6246 0.1246 0.5000  1 Cd 2.97, 4 Pb 3.28, 2 Sr 3.31
Pb1 0.2548 0.5000 0.7548  4 Cd 3.28, 2 Pb 3.39-3.52
Pb2 0.7452 0.5000 0.2452  4 Cd 3.28, 2 Pb 3.39-3.52

The crystal system is orthorhombic. The formation energy is -0.3240 eV per atom. As for the calculated total energy: -2.426 eV/atom.

***

[8]
A geometry-optimized CsRb2InPb structure. Source: Alexandria via LeMat-Bulk, functional PBE.

Cell lengths 7.3468, 7.3468, 5.8953 Å; angles 90.00, 90.00, 90.00 degrees
With the nearest neighbours (Å) after each atom.
Atoms (fractional coordinates):
Cs1 0.0000 0.0000 0.0000  8 Rb 4.71, 4 In 5.19
Rb1 0.0000 0.5000 0.5000  2 Pb 3.67
Rb2 0.5000 0.0000 0.5000  2 Pb 3.67
In1 0.5000 0.5000 0.0000  2 Pb 2.95
Pb1 0.5000 0.5000 0.5000  2 In 2.95

The crystal system is tetragonal. The formation energy is 0.0312 eV per atom. Its energy above the most stable polymorph in this dataset is 4 meV/atom. As for the calculated total energy: -1.816 eV/atom.

***

calculated total energy of number 2 (BaAcCd)? -2.483 eV/atom

***

What did the eighth record say?
A geometry-optimized CsRb2InPb structure. Source: Alexandria via LeMat-Bulk, functional PBE.

Cell lengths 7.3468, 7.3468, 5.8953 Å; angles 90.00, 90.00, 90.00 degrees
With the nearest neighbours (Å) after each atom.
Atoms (fractional coordinates):
Cs1 0.0000 0.0000 0.0000  8 Rb 4.71, 4 In 5.19
Rb1 0.0000 0.5000 0.5000  2 Pb 3.67
Rb2 0.5000 0.0000 0.5000  2 Pb 3.67
In1 0.5000 0.5000 0.0000  2 Pb 2.95
Pb1 0.5000 0.5000 0.5000  2 In 2.95

The crystal system is tetragonal. The formation energy is 0.0312 eV per atom. Its energy above the most stable polymorph in this dataset is 4 meV/atom. As for the calculated total energy: -1.816 eV/atom.

***

Among the records above, which one has the lowest calculated total energy? TlFe2Tc